# 1
Mg3RhO (PBE-GGA, optimized geometry); N(E_F) = 0.7947 states/eV/atom; E_form (uncorrected) = 0.22 eV per atom
1.0
-3.3093 1.6769 3.0711
1.3227 -3.3139 3.2347
3.2395 3.0661 1.8165
Mg O Rh
3 1 1
direct
0.0000 0.5000 0.0000 Mg
0.0000 0.0000 0.5000 Mg
0.5000 0.0000 0.0000 Mg
0.5000 0.5000 0.5000 O
0.0000 0.0000 0.0000 Rh

# 2
MgRh2O4 (PBE-GGA, optimized geometry); E_form (uncorrected) = -1.14 eV per atom
1.0
2.9789 0.0000 -0.7777
-0.5695 4.7864 -2.1816
-0.0810 -0.2863 5.7842
Rh O Mg
2 4 1
direct
0.7354 0.7301 0.4709 Rh
0.2646 0.2699 0.5291 Rh
0.3628 0.0096 0.7256 O
0.1383 0.4526 0.2766 O
0.8617 0.5474 0.7234 O
0.6372 0.9904 0.2744 O
0.0000 0.0000 0.0000 Mg

# 3
MgRh3O (PBE-GGA, optimized geometry); N(E_F) = 1.2420 states/eV/atom; E_form (uncorrected) = -0.14 eV per atom
1.0
4.1314 0.0000 0.0000
0.0000 4.1314 0.0000
0.0000 0.0000 4.1314
Rh Mg O
3 1 1
direct
0.0000 0.0000 0.5000 Rh
0.0000 0.5000 0.0000 Rh
0.5000 0.0000 0.0000 Rh
0.5000 0.5000 0.5000 Mg
0.0000 0.0000 0.0000 O

# 4
MgRhO2 (PBE-GGA, optimized geometry); N(E_F) = 0.6694 states/eV/atom; E_form (uncorrected) = -1.12 eV per atom
1.0
-0.6796 -1.4198 -4.4682
1.2368 -4.4093 1.2129
-4.0878 -3.8728 -0.6590
Mg Rh O
2 2 4
direct
0.2500 0.7500 0.5000 Mg
0.5000 0.5000 0.0000 Mg
0.7500 0.2500 0.5000 Rh
0.0000 0.0000 0.0000 Rh
0.3750 0.3998 0.7500 O
0.8750 0.8502 0.7500 O
0.1498 0.6250 0.2500 O
0.6002 0.1250 0.2500 O

# 5
MgRh2O4 (PBE-GGA, optimized geometry); N(E_F) = 0.8622 states/eV/atom; E_form (uncorrected) = -0.51 eV per atom
1.0
-3.2823 -1.8056 -1.0950
2.0641 -3.1706 -0.9589
-1.2151 -4.3710 3.8942
O Rh Mg
4 2 1
direct
0.0000 0.5000 0.0000 O
0.2008 0.2008 0.5984 O
0.5000 0.0000 0.0000 O
0.7992 0.7992 0.4016 O
0.3746 0.3746 0.2509 Rh
0.6254 0.6254 0.7491 Rh
0.0000 0.0000 0.0000 Mg

# 6
Mg2RhO4 (PBE-GGA, optimized geometry); N(E_F) = 0.5098 states/eV/atom; E_form (uncorrected) = -1.74 eV per atom
1.0
-2.0516 -0.6618 -2.2492
2.6559 3.0703 -3.3259
2.1262 -4.9836 1.6845
O Rh Mg
4 1 2
direct
0.1228 0.8265 0.2457 O
0.6299 0.2719 0.2598 O
0.3701 0.7281 0.7402 O
0.8772 0.1735 0.7543 O
0.0000 0.0000 0.0000 Rh
0.3031 0.2858 0.6062 Mg
0.6969 0.7142 0.3938 Mg